{
  "formula": "NdSnBr",
  "functional": "PBE",
  "state": "relaxed",
  "spacegroup": "No. 148",
  "dos_ef_per_ev_cell": 2.73,
  "e_form_raw_mev_per_atom": -1013,
  "lattice": [[8.823, 5.094, 2.345], [-8.823, 5.094, 2.345], [0.000, -10.188, 2.345]],
  "species": ["Nd", "Nd", "Nd", "Nd", "Nd", "Nd", "Sn", "Sn", "Sn", "Sn", "Sn", "Sn", "Br", "Br", "Br", "Br", "Br", "Br"],
  "frac_coords": [[0.262, 0.718, 0.325], [0.282, 0.675, 0.738], [0.325, 0.262, 0.718], [0.675, 0.738, 0.282], [0.718, 0.325, 0.262], [0.738, 0.282, 0.675], [0.068, 0.802, 0.523], [0.198, 0.477, 0.932], [0.477, 0.932, 0.198], [0.523, 0.068, 0.802], [0.802, 0.523, 0.068], [0.932, 0.198, 0.477], [0.105, 0.398, 0.304], [0.304, 0.105, 0.398], [0.398, 0.304, 0.105], [0.602, 0.696, 0.895], [0.696, 0.895, 0.602], [0.895, 0.602, 0.696]]
}

=====

{
  "formula": "CsVW3",
  "functional": "PBE",
  "state": "relaxed",
  "spacegroup": "No. 221",
  "dos_ef_per_ev_cell": 8.51,
  "formation_energy_ev_per_atom": 4.006,
  "de_polymorph_ev_per_atom": 1.6832,
  "lattice": [[4.900, 0.000, 0.000], [0.000, 4.900, 0.000], [0.000, 0.000, 4.900]],
  "species": ["Cs", "V", "W", "W", "W"],
  "frac_coords": [[0.000, 0.000, 0.000], [0.500, 0.500, 0.500], [0.000, 0.000, 0.500], [0.000, 0.500, 0.000], [0.500, 0.000, 0.000]]
}

=====

{
  "formula": "K2NpSc3O8",
  "functional": "PBE",
  "state": "relaxed",
  "spacegroup": "No. 160",
  "dos_ef_per_ev_cell": 9.27,
  "e_form_raw_mev_per_atom": -2674,
  "lattice": [[3.321, 1.917, 5.804], [-3.321, 1.917, 5.804], [0.000, -3.835, 5.804]],
  "species": ["K", "K", "Np", "Sc", "Sc", "Sc", "O", "O", "O", "O", "O", "O", "O", "O"],
  "frac_coords": [[0.000, 0.000, 0.000], [0.373, 0.373, 0.373], [0.754, 0.754, 0.754], [0.363, 0.363, 0.904], [0.363, 0.904, 0.363], [0.904, 0.363, 0.363], [0.116, 0.116, 0.558], [0.116, 0.558, 0.116], [0.124, 0.638, 0.638], [0.145, 0.145, 0.145], [0.558, 0.116, 0.116], [0.624, 0.624, 0.624], [0.638, 0.124, 0.638], [0.638, 0.638, 0.124]]
}

=====

{
  "formula": "Hf6GaPd",
  "functional": "PBE",
  "state": "relaxed",
  "spacegroup": "No. 148",
  "dos_ef_per_ev_cell": 11.18,
  "formation_energy_ev_per_atom": -0.238,
  "lattice": [[3.849, 2.222, 3.139], [-3.849, 2.222, 3.139], [0.000, -4.444, 3.139]],
  "species": ["Hf", "Hf", "Hf", "Hf", "Hf", "Hf", "Ga", "Pd"],
  "frac_coords": [[0.000, 0.499, 0.251], [0.000, 0.501, 0.749], [0.251, 0.000, 0.499], [0.499, 0.251, 0.000], [0.501, 0.749, 0.000], [0.749, 0.000, 0.501], [0.000, 0.000, 0.000], [0.500, 0.500, 0.500]]
}

=====

{
  "formula": "BaCdTc2Hg",
  "functional": "PBE",
  "state": "relaxed",
  "spacegroup": "No. 123",
  "dos_ef_per_ev_cell": 2.92,
  "formation_energy_ev_per_atom": 2.158,
  "lattice": [[5.325, 0.000, 0.000], [0.000, 5.325, 0.000], [0.000, 0.000, 6.397]],
  "species": ["Ba", "Cd", "Tc", "Tc", "Hg"],
  "frac_coords": [[0.000, 0.000, 0.000], [0.000, 0.000, 0.500], [0.000, 0.500, 0.000], [0.500, 0.000, 0.000], [0.500, 0.500, 0.500]]
}

=====

{
  "formula": "TaTcAg2",
  "functional": "PBE",
  "state": "relaxed",
  "spacegroup": "No. 47",
  "dos_ef_per_ev_cell": 3.13,
  "formation_energy_ev_per_atom": 0.400,
  "de_polymorph_ev_per_atom": 0.2216,
  "lattice": [[2.744, 0.000, 0.000], [0.000, 4.540, 0.000], [0.000, 0.000, 5.356]],
  "species": ["Ta", "Tc", "Ag", "Ag"],
  "frac_coords": [[0.000, 0.000, 0.000], [0.000, 0.000, 0.500], [0.500, 0.500, 0.252], [0.500, 0.500, 0.748]]
}

=====

{
  "formula": "NdTh4Pd4",
  "functional": "PBE",
  "state": "relaxed",
  "spacegroup": "No. 86",
  "dos_ef_per_ev_cell": 20.46,
  "formation_energy_ev_per_atom": -0.510,
  "lattice": [[9.112, 0.000, 0.000], [0.000, 9.112, 0.000], [0.000, 0.000, 5.990]],
  "species": ["Nd", "Nd", "Th", "Th", "Th", "Th", "Th", "Th", "Th", "Th", "Pd", "Pd", "Pd", "Pd", "Pd", "Pd", "Pd", "Pd"],
  "frac_coords": [[0.250, 0.250, 0.250], [0.750, 0.750, 0.750], [0.055, 0.663, 0.156], [0.163, 0.945, 0.656], [0.337, 0.555, 0.656], [0.445, 0.837, 0.156], [0.555, 0.163, 0.844], [0.663, 0.445, 0.344], [0.837, 0.055, 0.344], [0.945, 0.337, 0.844], [0.038, 0.633, 0.646], [0.133, 0.962, 0.146], [0.367, 0.538, 0.146], [0.462, 0.867, 0.646], [0.538, 0.133, 0.354], [0.633, 0.462, 0.854], [0.867, 0.038, 0.854], [0.962, 0.367, 0.354]]
}

=====

{
  "formula": "ErTh2Ni9",
  "functional": "PBE",
  "state": "relaxed",
  "spacegroup": "No. 166",
  "dos_ef_per_ev_cell": 11.24,
  "formation_energy_ev_per_atom": -0.411,
  "de_polymorph_ev_per_atom": 0.0000,
  "lattice": [[2.490, 1.438, 8.326], [-2.490, 1.438, 8.326], [0.000, -2.875, 8.326]],
  "species": ["Er", "Th", "Th", "Ni", "Ni", "Ni", "Ni", "Ni", "Ni", "Ni", "Ni", "Ni"],
  "frac_coords": [[0.000, 0.000, 0.000], [0.136, 0.136, 0.136], [0.864, 0.864, 0.864], [0.080, 0.581, 0.581], [0.333, 0.333, 0.333], [0.419, 0.419, 0.920], [0.419, 0.920, 0.419], [0.500, 0.500, 0.500], [0.581, 0.080, 0.581], [0.581, 0.581, 0.080], [0.667, 0.667, 0.667], [0.920, 0.419, 0.419]]
}

=====

{
  "formula": "BaPtW2",
  "functional": "PBE",
  "state": "relaxed",
  "spacegroup": "No. 25",
  "dos_ef_per_ev_cell": 3.42,
  "formation_energy_ev_per_atom": 0.426,
  "de_polymorph_ev_per_atom": 0.0000,
  "lattice": [[3.280, 0.000, 0.000], [0.000, 3.293, 0.000], [0.000, 0.000, 8.079]],
  "species": ["Ba", "Pt", "W", "W"],
  "frac_coords": [[0.000, 0.000, 0.000], [0.500, 0.500, 0.303], [0.000, 0.000, 0.503], [0.500, 0.500, 0.660]]
}

=====

{
  "formula": "Cd2B7Rh12",
  "functional": "PBE",
  "state": "relaxed",
  "spacegroup": "No. 174",
  "dos_ef_per_ev_cell": 12.66,
  "formation_energy_ev_per_atom": -0.234,
  "lattice": [[9.958, 0.000, 0.000], [-4.979, 8.624, 0.000], [0.000, 0.000, 3.123]],
  "species": ["Cd", "Cd", "B", "B", "B", "B", "B", "B", "B", "Rh", "Rh", "Rh", "Rh", "Rh", "Rh", "Rh", "Rh", "Rh", "Rh", "Rh", "Rh"],
  "frac_coords": [[0.000, 0.000, 0.000], [0.333, 0.667, 0.500], [0.344, 0.340, 0.000], [0.358, 0.011, 0.500], [0.652, 0.642, 0.500], [0.660, 0.003, 0.000], [0.667, 0.333, 0.000], [0.989, 0.348, 0.500], [0.997, 0.656, 0.000], [0.084, 0.507, 0.000], [0.120, 0.806, 0.500], [0.194, 0.314, 0.500], [0.310, 0.116, 0.000], [0.423, 0.916, 0.000], [0.493, 0.577, 0.000], [0.528, 0.369, 0.500], [0.631, 0.159, 0.500], [0.686, 0.880, 0.500], [0.807, 0.690, 0.000], [0.841, 0.472, 0.500], [0.884, 0.193, 0.000]]
}

=====

{
  "formula": "Y3AsBr3",
  "functional": "PBE",
  "state": "relaxed",
  "spacegroup": "No. 214",
  "dos_ef_per_ev_cell": 8.89,
  "e_form_raw_mev_per_atom": -1519,
  "lattice": [[-5.812, 5.812, 5.812], [5.812, -5.812, 5.812], [5.812, 5.812, -5.812]],
  "species": ["Y", "Y", "Y", "Y", "Y", "Y", "Y", "Y", "Y", "Y", "Y", "Y", "As", "As", "As", "As", "Br", "Br", "Br", "Br", "Br", "Br", "Br", "Br", "Br", "Br", "Br", "Br"],
  "frac_coords": [[0.013, 0.026, 0.263], [0.013, 0.487, 0.750], [0.026, 0.263, 0.013], [0.237, 0.263, 0.750], [0.237, 0.474, 0.487], [0.263, 0.013, 0.026], [0.263, 0.750, 0.237], [0.474, 0.487, 0.237], [0.487, 0.237, 0.474], [0.487, 0.750, 0.013], [0.750, 0.013, 0.487], [0.750, 0.237, 0.263], [0.000, 0.250, 0.500], [0.250, 0.250, 0.250], [0.250, 0.500, 0.000], [0.500, 0.000, 0.250], [0.250, 0.755, 0.745], [0.250, 0.995, 0.505], [0.505, 0.250, 0.995], [0.505, 0.755, 0.510], [0.510, 0.505, 0.755], [0.745, 0.250, 0.755], [0.745, 0.995, 0.990], [0.755, 0.510, 0.505], [0.755, 0.745, 0.250], [0.990, 0.745, 0.995], [0.995, 0.505, 0.250], [0.995, 0.990, 0.745]]
}

=====

{
  "formula": "ErCd5Hg6",
  "functional": "PBE",
  "state": "relaxed",
  "spacegroup": "No. 12",
  "dos_ef_per_ev_cell": 3.62,
  "formation_energy_ev_per_atom": -0.091,
  "de_polymorph_ev_per_atom": 0.0030,
  "lattice": [[2.372, -7.388, 0.000], [2.372, 7.388, 0.000], [-0.155, 0.000, 8.095]],
  "species": ["Er", "Cd", "Cd", "Cd", "Cd", "Cd", "Hg", "Hg", "Hg", "Hg", "Hg", "Hg"],
  "frac_coords": [[0.000, 0.000, 0.000], [0.000, 0.000, 0.500], [0.327, 0.673, 0.500], [0.336, 0.664, 0.000], [0.664, 0.336, 0.000], [0.673, 0.327, 0.500], [0.166, 0.833, 0.754], [0.167, 0.834, 0.246], [0.497, 0.497, 0.739], [0.503, 0.503, 0.261], [0.833, 0.166, 0.754], [0.834, 0.167, 0.246]]
}